Material: Zr4Tl5H2
Method: DFT, PBE
State: relaxed

## Properties
Space group: Immm, No. 71
VASP energy in eV per atom: -4.794
Magnetic moment in μB per formula unit: 0.00
N(E_F) in states/eV per atom: 0.75

Geometry as CIF:
```
data_Zr4Tl5H2
_symmetry_space_group_name_H-M 'P 1'
_symmetry_Int_Tables_number 1
_cell_length_a 3.2167
_cell_length_b 8.4086
_cell_length_c 9.5752
_cell_angle_alpha 116.05
_cell_angle_beta 99.67
_cell_angle_gamma 90.00
loop_
_symmetry_equiv_pos_as_xyz
'x,y,z'
loop_
_atom_site_label
_atom_site_type_symbol
_atom_site_fract_x
_atom_site_fract_y
_atom_site_fract_z
_atom_site_occupancy
Zr1 Zr 0.0000 0.3258 0.0000 1
Zr2 Zr 0.6625 0.6625 0.3250 1
Zr3 Zr 0.0000 0.6742 0.0000 1
Zr4 Zr 0.3375 0.3375 0.6750 1
Tl1 Tl 0.8295 0.0092 0.6590 1
Tl2 Tl 0.8295 0.6498 0.6590 1
Tl3 Tl 0.1705 0.3502 0.3410 1
Tl4 Tl 0.1705 0.9908 0.3410 1
Tl5 Tl 0.5000 0.0000 0.0000 1
H1 H 0.4529 0.4529 0.9058 1
H2 H 0.5471 0.5471 0.0942 1
```